Computed, not measured: an optimized crystal structure of Tb2DyTm5Th at the PBE level of DFT. Values from VASP.

Cell and atoms, written as Quantum ESPRESSO input:
```
&SYSTEM
  ibrav = 0, nat = 18, ntyp = 4
/
ATOMIC_SPECIES
Tb 158.93 Tb.upf
Dy 162.50 Dy.upf
Tm 168.93 Tm.upf
Th 232.04 Th.upf
ATOMIC_POSITIONS crystal
Tb 0.114 0.614 0.728
Tb 0.386 0.114 0.500
Tb 0.614 0.886 0.500
Tb 0.886 0.386 0.272
Dy 0.250 0.750 0.500
Dy 0.750 0.250 0.500
Tm 0.000 0.000 0.000
Tm 0.074 0.154 0.500
Tm 0.154 0.654 0.080
Tm 0.346 0.426 0.500
Tm 0.426 0.926 0.080
Tm 0.500 0.500 0.000
Tm 0.574 0.074 0.920
Tm 0.654 0.574 0.500
Tm 0.846 0.346 0.920
Tm 0.926 0.846 0.500
Th 0.250 0.250 0.000
Th 0.750 0.750 0.000
CELL_PARAMETERS angstrom
-4.352 4.352 7.422
4.352 -4.352 7.422
4.352 4.352 -7.422
```

Calculated values
Magnetic moment (μB/cell): 0.00
SG: I4/mcm, No. 140
ΔH_f (0 K) (eV per atom): 0.31